1.
TiHPd2 GGA-PBE relaxed; symmetry = No. 122; density = 8.56 g/cm³; uncorrected energy = -5.660 eV/atom; polymorph energy (0 for the lowest one) = 0.0 meV per atom; spin magnetization = 1.79 Bohr magnetons per cell
1.0
-3.1968 3.1968 2.4842
3.1968 -3.1968 2.4842
3.1968 3.1968 -2.4842
Ti H Pd
2 2 4
Cartesian
0.0000 0.0000 0.0000
0.0000 3.1968 1.2421
3.1968 0.0000 1.2421
0.0000 0.0000 2.4842
1.5984 -0.9228 1.8631
2.2740 1.5984 0.6210
1.5984 4.1195 -0.6210
0.9228 1.5984 3.1052

---

2.
Ce6Pt2Au GGA-PBE relaxed; symmetry = No. 12; density = 10.94 g/cm³; uncorrected energy = -6.270 eV/atom; polymorph energy (0 for the lowest one) = 0.0 meV per atom; spin magnetization = 3.07 Bohr magnetons per cell
1.0
5.1450 -2.4134 0.0000
5.1450 2.4134 0.0000
-0.8472 0.0000 8.7276
Ce Pt Au
6 2 1
Cartesian
0.2694 0.0000 3.0907
2.3835 0.0000 8.1375
3.8087 0.0000 2.7280
5.6341 0.0000 5.9995
7.0592 0.0000 0.5900
9.1733 0.0000 5.6369
2.2277 0.0000 5.3616
7.2151 0.0000 3.3659
0.0000 0.0000 0.0000

---

3.
TaV2Fe GGA-PBE relaxed; symmetry = No. 63; density = 9.96 g/cm³; uncorrected energy = -9.594 eV/atom; polymorph energy (0 for the lowest one) = 87.3 meV per atom; spin magnetization = 0.00 Bohr magnetons per cell
1.0
1.4454 -9.2808 0.0000
1.4454 9.2808 0.0000
0.0000 0.0000 4.2103
Ta V Fe
2 4 2
Cartesian
1.4454 7.0578 3.1578
1.4454 -7.0578 1.0526
1.4454 4.6769 1.0526
1.4454 0.3675 3.1578
1.4454 -0.3675 1.0526
1.4454 -4.6769 3.1578
1.4454 2.7116 3.1578
1.4454 -2.7116 1.0526

---

4.
ThCuAgCl6 GGA-PBE relaxed; formation energy (no corrections) = -1337 meV/atom; symmetry = No. 102; density = 4.24 g/cm³; uncorrected energy = -4.164 eV/atom; spin magnetization = 0.23 Bohr magnetons per cell
1.0
6.4588 0.0000 0.0000
0.0000 6.4588 0.0000
0.0000 0.0000 11.5812
Th Cu Ag Cl
2 2 2 12
Cartesian
0.0000 0.0000 0.0000
3.2294 3.2294 5.7906
0.0000 0.0000 3.5664
3.2294 3.2294 9.3570
0.0000 0.0000 7.7386
3.2294 3.2294 1.9479
1.2727 1.2727 2.0424
1.3125 1.3125 5.6930
1.3766 1.3766 9.7220
1.8528 4.6060 3.9314
1.9169 4.5419 11.4836
1.9566 4.5021 7.8330
4.5021 1.9566 7.8330
4.5419 1.9169 11.4836
4.6060 1.8528 3.9314
5.0822 5.0822 9.7220
5.1463 5.1463 5.6930
5.1860 5.1860 2.0424

---

5.
LiLa2Lu GGA-PBE relaxed; symmetry = No. 166; density = 5.66 g/cm³; uncorrected energy = -3.910 eV/atom; polymorph energy (0 for the lowest one) = 86.0 meV per atom; spin magnetization = 0.00 Bohr magnetons per cell
1.0
1.7619 1.0173 12.5346
-1.7619 1.0173 12.5346
0.0000 -2.0345 12.5346
Li La Lu
1 2 1
Cartesian
0.0000 0.0000 0.0000
0.0000 0.0000 3.3789
0.0000 0.0000 34.2248
0.0000 0.0000 18.8018

---

6.
Na3Pm2HgO6 GGA-PBE relaxed; formation energy (no corrections) = -1948 meV/atom; symmetry = No. 12; density = 6.00 g/cm³; uncorrected energy = -5.574 eV/atom; spin magnetization = 1.10 Bohr magnetons per cell
1.0
3.0686 -5.1996 0.0000
3.0686 5.1996 0.0000
-2.2037 0.0000 5.6856
Na Pm Hg O
3 2 1 6
Cartesian
0.0000 0.0000 0.0000
3.0686 1.5513 0.0000
3.0686 -1.5513 0.0000
1.9667 3.5067 2.8428
1.9667 -3.5067 2.8428
1.9667 0.0000 2.8428
0.9869 1.7000 1.6138
-0.2963 0.0000 4.2097
0.9869 -1.7000 1.6138
2.9466 1.7000 4.0718
4.2298 0.0000 1.4759
2.9466 -1.7000 4.0718

---

7.
Li12MgAg3 GGA-PBE relaxed; symmetry = No. 123; density = 2.54 g/cm³; uncorrected energy = -2.177 eV/atom; spin magnetization = 0.00 Bohr magnetons per cell
1.0
4.1202 0.0000 0.0000
0.0000 4.1202 0.0000
0.0000 0.0000 16.6314
Li Mg Ag
12 1 3
Cartesian
0.0000 0.0000 0.0000
0.0000 0.0000 4.0061
0.0000 0.0000 8.3157
0.0000 0.0000 12.6253
0.0000 2.0601 2.0075
0.0000 2.0601 6.0150
0.0000 2.0601 10.6163
0.0000 2.0601 14.6239
2.0601 0.0000 2.0075
2.0601 0.0000 6.0150
2.0601 0.0000 10.6163
2.0601 0.0000 14.6239
2.0601 2.0601 8.3157
2.0601 2.0601 0.0000
2.0601 2.0601 4.0111
2.0601 2.0601 12.6203

---

8.
LiAs2Se3 GGA-PBE relaxed; formation energy (no corrections) = -109 meV/atom; symmetry = No. 63; density = 3.20 g/cm³; uncorrected energy = -3.720 eV/atom; spin magnetization = 0.00 Bohr magnetons per cell
1.0
5.3157 -5.7956 0.0000
5.3157 5.7956 0.0000
0.0000 0.0000 6.6325
Li As Se
2 4 6
Cartesian
5.3157 5.6195 4.9744
5.3157 -5.6195 1.6581
3.3694 0.0000 0.0000
3.3694 0.0000 3.3162
7.2620 0.0000 0.0000
7.2620 0.0000 3.3162
1.9783 1.3741 4.9744
1.9783 -1.3741 1.6581
5.3157 0.9170 1.6581
5.3157 -0.9170 4.9744
8.6532 1.3741 4.9744
8.6532 -1.3741 1.6581

---

9.
ZrPa2RhN5 GGA-PBE relaxed; formation energy (no corrections) = -1178 meV/atom; symmetry = No. 36; density = 10.60 g/cm³; uncorrected energy = -9.680 eV/atom; spin magnetization = 0.00 Bohr magnetons per cell
1.0
1.6805 -6.5279 0.0000
1.6805 6.5279 0.0000
0.0000 0.0000 10.3754
Zr Pa Rh N
2 4 2 10
Cartesian
1.6805 3.9206 5.1877
1.6805 -3.9206 0.0000
1.6805 5.1596 1.8082
1.6805 4.6583 8.2515
1.6805 -4.6583 3.0639
1.6805 -5.1596 6.9959
1.6805 0.3390 9.7992
1.6805 -0.3390 4.6115
1.6805 5.8861 5.9765
1.6805 2.8955 1.6211
1.6805 2.3490 8.8667
1.6805 1.7387 5.0411
1.6805 0.1944 2.6768
1.6805 -0.1944 7.8645
1.6805 -1.7387 10.2288
1.6805 -2.3490 3.6790
1.6805 -2.8955 6.8088
1.6805 -5.8861 0.7888

---

10.
Mn2V12Cr5 GGA-PBE relaxed; symmetry = No. 12; density = 6.48 g/cm³; uncorrected energy = -8.973 eV/atom; spin magnetization = 1.34 Bohr magnetons per cell
1.0
6.6423 -2.7463 0.0000
6.6423 2.7463 0.0000
-1.5069 0.0000 6.8864
Mn V Cr
2 12 5
Cartesian
6.6423 1.7429 0.0000
6.6423 -1.7429 0.0000
-0.8664 0.0000 4.5883
3.7820 1.3773 3.4415
4.5065 1.1607 0.7800
7.9956 1.3773 3.4449
7.2711 1.1607 6.1064
4.6354 0.0000 5.4481
7.1422 0.0000 1.4383
4.5065 -1.1607 0.7800
3.7820 -1.3773 3.4415
7.2711 -1.1607 6.1064
7.9956 -1.3773 3.4449
12.6440 0.0000 2.2981
2.1406 0.0000 1.3433
2.1817 0.0000 5.4232
5.8888 0.0000 3.4432
9.5959 0.0000 1.4633
9.6370 0.0000 5.5432

---

11.
NaZrMnPd2 GGA-PBE relaxed; symmetry = No. 123; density = 6.12 g/cm³; uncorrected energy = -4.699 eV/atom; spin magnetization = 2.18 Bohr magnetons per cell
1.0
4.5679 0.0000 0.0000
0.0000 4.5679 0.0000
0.0000 0.0000 4.9666
Na Zr Mn Pd
1 1 1 2
Cartesian
0.0000 0.0000 0.0000
0.0000 0.0000 2.4833
2.2839 2.2839 2.4833
0.0000 2.2839 0.0000
2.2839 0.0000 0.0000

---

12.
Sc3SbS2 GGA-PBE relaxed; formation energy (no corrections) = -1233 meV/atom; symmetry = No. 74; density = 3.75 g/cm³; uncorrected energy = -6.462 eV/atom; polymorph energy (0 for the lowest one) = 0.0 meV per atom; spin magnetization = 1.55 Bohr magnetons per cell
1.0
-3.3448 5.1319 4.1320
3.3448 -5.1319 4.1320
3.3448 5.1319 -4.1320
Sc Sb S
6 2 4
Cartesian
1.4972 0.0000 0.0000
5.1923 0.0000 0.0000
-1.6724 2.5659 2.0660
1.4972 5.1319 0.0000
1.6724 2.5659 2.0660
1.8476 0.0000 4.1320
3.3448 -2.5659 3.5863
0.0000 7.6978 0.5457
3.3448 0.6183 1.6732
0.0000 0.6183 2.4589
3.3448 4.5135 1.6732
0.0000 4.5135 2.4589